(1)
# RbP2PbS PBE optimized geometry
# Calculated volume = 33.3 Å³/atom
# Polymorph energy (0 for the lowest one) = 0.0000 eV/atom
# Formation energy without anion corrections = 0.518 eV/atom
data_RbP2PbS
_chemical_formula_sum 'Rb1 P2 Pb1 S1'
_cell_length_a 5.483
_cell_length_b 5.483
_cell_length_c 5.545
_cell_angle_alpha 90.00
_cell_angle_beta 90.00
_cell_angle_gamma 90.00
_symmetry_space_group_name_H-M 'P 4/m m m'
_symmetry_Int_Tables_number 123
_symmetry_space_group_name_Hall '-P 4 2'
loop_
_atom_site_label
_atom_site_fract_x
_atom_site_fract_y
_atom_site_fract_z
_atom_site_occupancy
Rb1 0.000 0.000 0.000 1
P1 0.000 0.500 0.500 1
Pb1 0.500 0.500 0.500 1
S1 0.500 0.500 0.000 1

***

(2)
# Rb2P2PbS6 PBE optimized geometry
# Calculated volume = 29.2 Å³/atom
# Formation energy without anion corrections = -0.655 eV/atom
data_Rb2P2PbS6
_chemical_formula_sum 'Rb6 P6 Pb3 S18'
_cell_length_a 7.0704
_cell_length_b 7.0704
_cell_length_c 22.2781
_cell_angle_alpha 90.00
_cell_angle_beta 90.00
_cell_angle_gamma 120.00
_symmetry_space_group_name_H-M 'R -3 m'
_symmetry_Int_Tables_number 166
_symmetry_space_group_name_Hall '-R 3 2"'
loop_
_atom_site_label
_atom_site_fract_x
_atom_site_fract_y
_atom_site_fract_z
_atom_site_occupancy
Rb1 0.0000 0.0000 0.2238 1
P1 0.0000 0.0000 0.4471 1
Pb1 0.0000 0.0000 0.0000 1
S1 0.0093 0.5047 0.2397 1

***

(3)
# RbPPbS2 PBE optimized geometry
# Calculated volume = 31.8 Å³/atom
# Polymorph energy (0 for the lowest one) = 0.0000 eV/atom
# Formation energy without anion corrections = 0.195 eV/atom
data_RbPPbS2
_chemical_formula_sum 'Rb1 P1 Pb1 S2'
_cell_length_a 5.432
_cell_length_b 5.432
_cell_length_c 5.385
_cell_angle_alpha 90.00
_cell_angle_beta 90.00
_cell_angle_gamma 90.00
_symmetry_space_group_name_H-M 'P 4/m m m'
_symmetry_Int_Tables_number 123
_symmetry_space_group_name_Hall '-P 4 2'
loop_
_atom_site_label
_atom_site_fract_x
_atom_site_fract_y
_atom_site_fract_z
_atom_site_occupancy
Rb1 0.000 0.000 0.000 1
P1 0.500 0.500 0.000 1
Pb1 0.500 0.500 0.500 1
S1 0.000 0.500 0.500 1

***

(4)
# RbPPbS2 PBE optimized geometry
# Calculated volume = 36.8 Å³/atom
# Polymorph energy (0 for the lowest one) = 0.9838 eV/atom
# Formation energy without anion corrections = 1.179 eV/atom
data_RbPPbS2
_chemical_formula_sum 'Rb1 P1 Pb1 S2'
_cell_length_a 5.737
_cell_length_b 5.737
_cell_length_c 5.590
_cell_angle_alpha 90.00
_cell_angle_beta 90.00
_cell_angle_gamma 90.00
_symmetry_space_group_name_H-M 'P 4/m m m'
_symmetry_Int_Tables_number 123
_symmetry_space_group_name_Hall '-P 4 2'
loop_
_atom_site_label
_atom_site_fract_x
_atom_site_fract_y
_atom_site_fract_z
_atom_site_occupancy
Rb1 0.000 0.000 0.000 1
P1 0.000 0.000 0.500 1
Pb1 0.500 0.500 0.500 1
S1 0.000 0.500 0.000 1

***

(5)
# RbP2PbS6 PBE optimized geometry
# Calculated volume = 30.2 Å³/atom
# Formation energy without anion corrections = -0.379 eV/atom
data_RbP2PbS6
_chemical_formula_sum 'Rb4 P8 Pb4 S24'
_cell_length_a 12.218
_cell_length_b 12.166
_cell_length_c 8.991
_cell_angle_alpha 90.00
_cell_angle_beta 115.18
_cell_angle_gamma 90.00
_symmetry_space_group_name_H-M 'C 1 2/c 1'
_symmetry_Int_Tables_number 15
loop_
_symmetry_equiv_pos_as_xyz
'x,y,z'
'-x,-y,-z'
'-x,y,-z+1/2'
'x,-y,z+1/2'
'x+1/2,y+1/2,z'
'-x+1/2,-y+1/2,-z'
'-x+1/2,y+1/2,-z+1/2'
'x+1/2,-y+1/2,z+1/2'
loop_
_atom_site_label
_atom_site_fract_x
_atom_site_fract_y
_atom_site_fract_z
_atom_site_occupancy
Rb1 0.000 0.090 0.250 1
P1 0.249 0.392 0.292 1
Pb1 0.000 0.442 0.750 1
S1 0.082 0.361 0.117 1
S2 0.103 0.185 0.687 1
S3 0.230 0.042 0.108 1

***

(6)
# Rb2P2PbS7 PBE optimized geometry
# Calculated volume = 27.4 Å³/atom
# Formation energy without anion corrections = -0.521 eV/atom
data_Rb2P2PbS7
_chemical_formula_sum 'Rb6 P6 Pb3 S21'
_cell_length_a 6.3761
_cell_length_b 6.3761
_cell_length_c 28.0336
_cell_angle_alpha 90.00
_cell_angle_beta 90.00
_cell_angle_gamma 120.00
_symmetry_space_group_name_H-M 'R 3 2'
_symmetry_Int_Tables_number 155
_symmetry_space_group_name_Hall 'R 3 2"'
loop_
_atom_site_label
_atom_site_fract_x
_atom_site_fract_y
_atom_site_fract_z
_atom_site_occupancy
Rb1 0.0000 0.0000 0.1615 1
P1 0.0000 0.0000 0.4174 1
Pb1 0.0000 0.0000 0.0000 1
S1 0.0000 0.0000 0.5000 1
S2 0.0090 0.3757 0.0685 1

***

(7)
# Rb3P2PbS8 PBE optimized geometry
# Calculated volume = 30.8 Å³/atom
# Formation energy without anion corrections = -0.625 eV/atom
data_Rb3P2PbS8
_chemical_formula_sum 'Rb3 P2 Pb1 S8'
_cell_length_a 7.0078
_cell_length_b 7.0078
_cell_length_c 10.1499
_cell_angle_alpha 90.00
_cell_angle_beta 90.00
_cell_angle_gamma 120.00
_symmetry_space_group_name_H-M 'P -3 m 1'
_symmetry_Int_Tables_number 164
_symmetry_space_group_name_Hall '-P 3 2"'
loop_
_atom_site_label
_atom_site_fract_x
_atom_site_fract_y
_atom_site_fract_z
_atom_site_occupancy
Rb1 0.0000 0.0000 0.0000 1
Rb2 0.3333 0.6667 0.6975 1
P1 0.3333 0.6667 0.2378 1
Pb1 0.0000 0.0000 0.5000 1
S1 0.1703 0.3405 0.2947 1
S2 0.3333 0.6667 0.0392 1

***

(8)
# RbScPPb2 PBE optimized geometry
# Calculated volume = 33.9 Å³/atom
# E_form = 0.01 eV per atom
data_RbScPPb2
_chemical_formula_sum 'Rb1 Sc1 P1 Pb2'
_cell_length_a 5.844
_cell_length_b 5.844
_cell_length_c 4.967
_cell_angle_alpha 90.00
_cell_angle_beta 90.00
_cell_angle_gamma 90.00
_symmetry_space_group_name_H-M 'P 4/m m m'
_symmetry_Int_Tables_number 123
_symmetry_space_group_name_Hall '-P 4 2'
loop_
_atom_site_label
_atom_site_fract_x
_atom_site_fract_y
_atom_site_fract_z
_atom_site_occupancy
Rb1 0.000 0.000 0.000 1
Sc1 0.500 0.500 0.000 1
P1 0.500 0.500 0.500 1
Pb1 0.000 0.500 0.500 1

***

(9)
# Rb2P2PbSe6 PBE optimized geometry
# Calculated volume = 32.0 Å³/atom
# Formation energy without anion corrections = -0.524 eV/atom
data_Rb2P2PbSe6
_chemical_formula_sum 'Rb4 P4 Pb2 Se12'
_cell_length_a 12.859
_cell_length_b 7.401
_cell_length_c 8.636
_cell_angle_alpha 90.00
_cell_angle_beta 121.07
_cell_angle_gamma 90.00
_symmetry_space_group_name_H-M 'C 1 2/m 1'
_symmetry_Int_Tables_number 12
loop_
_symmetry_equiv_pos_as_xyz
'x,y,z'
'-x,-y,-z'
'-x,y,-z'
'x,-y,z'
'x+1/2,y+1/2,z'
'-x+1/2,-y+1/2,-z'
'-x+1/2,y+1/2,-z'
'x+1/2,-y+1/2,z'
loop_
_atom_site_label
_atom_site_fract_x
_atom_site_fract_y
_atom_site_fract_z
_atom_site_occupancy
Rb1 0.218 0.000 0.232 1
P1 0.026 0.500 0.153 1
Pb1 0.000 0.000 0.500 1
Se1 0.059 0.252 0.821 1
Se2 0.227 0.500 0.324 1

***

(10)
# Rb2PPbSe4 PBE optimized geometry
# Calculated volume = 37.9 Å³/atom
# Formation energy without anion corrections = -0.513 eV/atom
data_Rb2PPbSe4
_chemical_formula_sum 'Rb16 P8 Pb8 Se32'
_cell_length_a 6.788
_cell_length_b 14.306
_cell_length_c 24.993
_cell_angle_alpha 90.00
_cell_angle_beta 90.00
_cell_angle_gamma 90.00
_symmetry_space_group_name_H-M 'F d d d'
_symmetry_Int_Tables_number 70
loop_
_symmetry_equiv_pos_as_xyz
'x,y,z'
'-x,-y,-z'
'-x+1/4,-y+1/4,z'
'x+1/4,y+1/4,-z'
'x,-y+1/4,-z+1/4'
'-x,y+1/4,z+1/4'
'-x+1/4,y,-z+1/4'
'x+1/4,-y,z+1/4'
'x,y+1/2,z+1/2'
'-x,-y+1/2,-z+1/2'
'-x+1/4,-y+3/4,z+1/2'
'x+1/4,y+3/4,-z+1/2'
'x,-y+3/4,-z+3/4'
'-x,y+3/4,z+3/4'
'-x+1/4,y+1/2,-z+3/4'
'x+1/4,-y+1/2,z+3/4'
'x+1/2,y,z+1/2'
'-x+1/2,-y,-z+1/2'
'-x+3/4,-y+1/4,z+1/2'
'x+3/4,y+1/4,-z+1/2'
'x+1/2,-y+1/4,-z+3/4'
'-x+1/2,y+1/4,z+3/4'
'-x+3/4,y,-z+3/4'
'x+3/4,-y,z+3/4'
'x+1/2,y+1/2,z'
'-x+1/2,-y+1/2,-z'
'-x+3/4,-y+3/4,z'
'x+3/4,y+3/4,-z'
'x+1/2,-y+3/4,-z+1/4'
'-x+1/2,y+3/4,z+1/4'
'-x+3/4,y+1/2,-z+1/4'
'x+3/4,-y+1/2,z+1/4'
loop_
_atom_site_label
_atom_site_fract_x
_atom_site_fract_y
_atom_site_fract_z
_atom_site_occupancy
Rb1 0.125 0.125 0.309 1
P1 0.125 0.125 0.625 1
Pb1 0.125 0.125 0.125 1
Se1 0.063 0.273 0.820 1

***

(11)
# RbPPbSe4 PBE optimized geometry
# Calculated volume = 32.2 Å³/atom
# Formation energy without anion corrections = -0.560 eV/atom
data_RbPPbSe4
_chemical_formula_sum 'Rb2 P2 Pb2 Se8'
_cell_length_a 7.054
_cell_length_b 7.044
_cell_length_c 9.526
_cell_angle_alpha 90.00
_cell_angle_beta 107.96
_cell_angle_gamma 90.00
_symmetry_space_group_name_H-M 'P 1 21/m 1'
_symmetry_Int_Tables_number 11
loop_
_symmetry_equiv_pos_as_xyz
'x,y,z'
'-x,-y,-z'
'-x,y+1/2,-z'
'x,-y+1/2,z'
loop_
_atom_site_label
_atom_site_fract_x
_atom_site_fract_y
_atom_site_fract_z
_atom_site_occupancy
Rb1 0.242 0.250 0.435 1
P1 0.300 0.750 0.181 1
Pb1 0.254 0.250 0.952 1
Se1 0.113 0.750 0.331 1
Se2 0.117 0.750 0.944 1
Se3 0.496 0.501 0.776 1

***

(12)
# RbSi2PPb PBE optimized geometry
# Calculated volume = 26.8 Å³/atom
# Formation energy without anion corrections = 0.690 eV/atom
data_RbSi2PPb
_chemical_formula_sum 'Rb1 Si2 P1 Pb1'
_cell_length_a 4.765
_cell_length_b 4.765
_cell_length_c 5.909
_cell_angle_alpha 90.00
_cell_angle_beta 90.00
_cell_angle_gamma 90.00
_symmetry_space_group_name_H-M 'P 4/m m m'
_symmetry_Int_Tables_number 123
_symmetry_space_group_name_Hall '-P 4 2'
loop_
_atom_site_label
_atom_site_fract_x
_atom_site_fract_y
_atom_site_fract_z
_atom_site_occupancy
Rb1 0.000 0.000 0.000 1
Si1 0.000 0.500 0.500 1
P1 0.000 0.000 0.500 1
Pb1 0.500 0.500 0.000 1

***

(13)
# RbSnP2Pb PBE optimized geometry
# Calculated volume = 32.9 Å³/atom
# E_form = 0.76 eV per atom
data_RbSnP2Pb
_chemical_formula_sum 'Rb1 Sn1 P2 Pb1'
_cell_length_a 5.209
_cell_length_b 5.209
_cell_length_c 6.063
_cell_angle_alpha 90.00
_cell_angle_beta 90.00
_cell_angle_gamma 90.00
_symmetry_space_group_name_H-M 'P 4/m m m'
_symmetry_Int_Tables_number 123
_symmetry_space_group_name_Hall '-P 4 2'
loop_
_atom_site_label
_atom_site_fract_x
_atom_site_fract_y
_atom_site_fract_z
_atom_site_occupancy
Rb1 0.000 0.000 0.000 1
Sn1 0.000 0.000 0.500 1
P1 0.000 0.500 0.500 1
Pb1 0.500 0.500 0.000 1